DFT (PBE-GGA) results for Ac3In2Ru after structural relaxation.

Computed properties:
- Energy above the lowest structure with this stoichiometry: 0 meV/atom
- Total magnetic moment: 0.0 μB/f.u.
- E_tot: -4.796 eV/atom

Cell: 9.322 9.322 4.037 Å, 90.00 90.00 145.44°
Fractional positions:
Ac (0.000, 0.000, 0.000)
Ac (0.371, 0.629, 0.500)
Ac (0.629, 0.371, 0.500)
In (0.200, 0.800, 0.000)
In (0.800, 0.200, 0.000)
Ru (0.500, 0.500, 0.000)

=====

DFT (PBE-GGA) results for CaSn2Pd5 after structural relaxation.

Computed properties:
- Total magnetic moment: 0.0 μB/f.u.
- E_tot: -5.041 eV/atom

Cell: 6.898 6.898 6.898 Å, 146.93 115.85 74.10°
Fractional positions:
Ca (0.000, 0.000, 0.000)
Sn (0.257, 0.757, 0.500)
Sn (0.743, 0.243, 0.500)
Pd (0.170, 0.369, 0.801)
Pd (0.432, 0.631, 0.801)
Pd (0.500, 0.000, 0.500)
Pd (0.568, 0.369, 0.199)
Pd (0.830, 0.631, 0.199)

=====

DFT (PBE-GGA) results for Sc3HgAu2 after structural relaxation.

Computed properties:
- Total magnetic moment: 0.0 μB/f.u.
- E_tot: -4.988 eV/atom

Cell: 3.447 3.447 10.313 Å, 90.00 90.00 90.00°
Fractional positions:
Sc (0.000, 0.000, 0.000)
Sc (0.000, 0.000, 0.323)
Sc (0.000, 0.000, 0.677)
Hg (0.500, 0.500, 0.500)
Au (0.500, 0.500, 0.164)
Au (0.500, 0.500, 0.836)

=====

DFT (PBE-GGA) results for RbCaErBr6 after structural relaxation.

Computed properties:
- Formation energy from raw total energies: -1933.7 meV per atom
- Total magnetic moment: 0.0 μB/f.u.
- E_tot: -3.886 eV/atom

Cell: 7.455 7.455 15.071 Å, 90.00 90.00 120.00°
Fractional positions:
Rb (0.000, 0.000, 0.000)
Rb (0.000, 0.000, 0.500)
Ca (0.333, 0.667, 0.250)
Ca (0.667, 0.333, 0.750)
Er (0.333, 0.667, 0.750)
Er (0.667, 0.333, 0.250)
Br (0.013, 0.380, 0.642)
Br (0.013, 0.633, 0.858)
Br (0.367, 0.380, 0.858)
Br (0.367, 0.987, 0.642)
Br (0.380, 0.013, 0.142)
Br (0.380, 0.367, 0.358)
Br (0.620, 0.633, 0.642)
Br (0.620, 0.987, 0.858)
Br (0.633, 0.013, 0.358)
Br (0.633, 0.620, 0.142)
Br (0.987, 0.367, 0.142)
Br (0.987, 0.620, 0.358)